Record 1
The following is a PBEsol calculation of an optimized crystal structure of PbAu2NO, from Alexandria via LeMat-Bulk.

crystal system = tetragonal
formation energy (no corrections) = 5.02 eV per formula unit
V = 18.204 Å³/atom
spin magnetization = 1.23 μB/cell
space-group type = P4/mmm (123)

Lattice parameters (Å, degrees): 4.0723 4.0723 5.4888 90.00 90.00 90.00
Last column: nearest neighbours and their distance in Å.
Positions (direct):
O (0.0000, 0.0000, 0.0000)  4 Au 2.04
Au (0.5000, 0.0000, 0.0000)  2 O 2.04
Au (0.0000, 0.5000, 0.0000)  2 O 2.04
Pb (0.5000, 0.5000, 0.5000)  4 N 2.88
N (0.0000, 0.0000, 0.5000)  2 O 2.74, 4 Pb 2.88

Record 2
The following is a PBEsol calculation of an optimized crystal structure of PtAuN2O, from Alexandria via LeMat-Bulk.

crystal system = tetragonal
formation energy (no corrections) = 6.99 eV per formula unit
V = 12.637 Å³/atom
spin magnetization = 0.00 μB/cell
space-group type = P4/mmm (123)

Lattice parameters (Å, degrees): 3.7097 3.7097 4.5913 90.00 90.00 90.00
Last column: nearest neighbours and their distance in Å.
Positions (direct):
O (0.0000, 0.0000, 0.5000)  2 Pt 2.30
N (0.5000, 0.0000, 0.0000)  2 Pt 1.85
N (0.0000, 0.5000, 0.0000)  2 Pt 1.85
Pt (0.0000, 0.0000, 0.0000)  4 N 1.85
Au (0.5000, 0.5000, 0.5000)  4 O 2.62

Record 3
The following is a PBEsol calculation of an optimized crystal structure of RbAuNO2, from Alexandria via LeMat-Bulk.

crystal system = tetragonal
formation energy (no corrections) = 10.44 eV per formula unit
V = 18.929 Å³/atom
spin magnetization = 3.36 μB/cell
space-group type = P4/mmm (123)

Lattice parameters (Å, degrees): 4.3223 4.3223 5.0661 90.00 90.00 90.00
Last column: nearest neighbours and their distance in Å.
Positions (direct):
N (0.0000, 0.0000, 0.5000)  2 Rb 2.53
Rb (0.0000, 0.0000, 0.0000)  4 O 2.16
O (0.5000, 0.0000, 0.0000)  2 Rb 2.16
O (0.0000, 0.5000, 0.0000)  2 Rb 2.16
Au (0.5000, 0.5000, 0.5000)  4 N 3.06, 8 O 3.33

Record 4
The following is a PBEsol calculation of an optimized crystal structure of RbAuN2O, from Alexandria via LeMat-Bulk.

crystal system = tetragonal
formation energy (no corrections) = 13.28 eV per formula unit
V = 23.291 Å³/atom
spin magnetization = 5.12 μB/cell
space-group type = P4/mmm (123)

Lattice parameters (Å, degrees): 4.3023 5.2027 5.2027 90.00 90.00 90.00
Last column: nearest neighbours and their distance in Å.
Positions (direct):
Au (0.5000, 0.5000, 0.5000)  8 N 3.38, 4 O 3.68
N (0.0000, 0.5000, 0.0000)  2 Rb 2.60
N (0.0000, 0.0000, 0.5000)  2 Rb 2.60
Rb (0.0000, 0.0000, 0.0000)  2 O 2.15
O (0.5000, 0.0000, 0.0000)  2 Rb 2.15

Record 5
The following is a PBEsol calculation of an optimized crystal structure of RuAuNO2, from Alexandria via LeMat-Bulk.

crystal system = tetragonal
formation energy (no corrections) = 7.41 eV per formula unit
V = 12.689 Å³/atom
spin magnetization = 4.04 μB/cell
space-group type = P4/mmm (123)

Lattice parameters (Å, degrees): 3.7714 4.1016 4.1016 90.00 90.00 90.00
Last column: nearest neighbours and their distance in Å.
Positions (direct):
O (0.0000, 0.0000, 0.5000)  2 Au 2.05
O (0.0000, 0.5000, 0.0000)  2 Au 2.05
Au (0.0000, 0.0000, 0.0000)  2 N 1.89, 4 O 2.05
N (0.5000, 0.0000, 0.0000)  2 Au 1.89
Ru (0.5000, 0.5000, 0.5000)  8 O 2.79, 4 N 2.90

Record 6
The following is a PBEsol calculation of an optimized crystal structure of SbAuN2O, from Alexandria via LeMat-Bulk.

crystal system = tetragonal
formation energy (no corrections) = 5.12 eV per formula unit
V = 12.969 Å³/atom
spin magnetization = 1.88 μB/cell
space-group type = P4/mmm (123)

Lattice parameters (Å, degrees): 3.8731 4.0917 4.0917 90.00 90.00 90.00
Last column: nearest neighbours and their distance in Å.
Positions (direct):
N (0.0000, 0.5000, 0.0000)  2 Sb 2.05
N (0.0000, 0.0000, 0.5000)  2 Sb 2.05
Au (0.5000, 0.5000, 0.5000)  8 N 2.82, 4 O 2.89
Sb (0.0000, 0.0000, 0.0000)  2 O 1.94, 4 N 2.05
O (0.5000, 0.0000, 0.0000)  2 Sb 1.94

Record 7
The following is a PBEsol calculation of an optimized crystal structure of SiAuNO2, from Alexandria via LeMat-Bulk.

crystal system = tetragonal
formation energy (no corrections) = 4.84 eV per formula unit
V = 12.852 Å³/atom
spin magnetization = 0.00 μB/cell
space-group type = P4/mmm (123)

Lattice parameters (Å, degrees): 3.7068 4.1637 4.1637 90.00 90.00 90.00
Last column: nearest neighbours and their distance in Å.
Positions (direct):
N (0.5000, 0.0000, 0.0000)  2 Au 1.85
Si (0.5000, 0.5000, 0.5000)  8 O 2.79, 4 N 2.94
O (0.0000, 0.5000, 0.0000)  2 Au 2.08
O (0.0000, 0.0000, 0.5000)  2 Au 2.08
Au (0.0000, 0.0000, 0.0000)  2 N 1.85

Record 8
The following is a PBEsol calculation of an optimized crystal structure of SnAuNO2, from Alexandria via LeMat-Bulk.

crystal system = tetragonal
formation energy (no corrections) = 2.50 eV per formula unit
V = 13.482 Å³/atom
spin magnetization = 0.00 μB/cell
space-group type = P4/mmm (123)

Lattice parameters (Å, degrees): 3.7532 4.2381 4.2381 90.00 90.00 90.00
Last column: nearest neighbours and their distance in Å.
Positions (direct):
Sn (0.5000, 0.5000, 0.5000)  8 O 2.83, 4 N 3.00
O (0.0000, 0.5000, 0.0000)  2 Au 2.12
O (0.0000, 0.0000, 0.5000)  2 Au 2.12
N (0.5000, 0.0000, 0.0000)  2 Au 1.88
Au (0.0000, 0.0000, 0.0000)  2 N 1.88

Record 9
The following is a PBEsol calculation of an optimized crystal structure of SnAuNO2, from Alexandria via LeMat-Bulk.

crystal system = tetragonal
formation energy (no corrections) = 1.96 eV per formula unit
V = 13.536 Å³/atom
spin magnetization = 2.03 μB/cell
space-group type = P4/mmm (123)

Lattice parameters (Å, degrees): 4.0087 4.0087 4.2118 90.00 90.00 90.00
Last column: nearest neighbours and their distance in Å.
Positions (direct):
Sn (0.0000, 0.0000, 0.0000)  4 O 2.00, 2 N 2.11
O (0.0000, 0.5000, 0.0000)  2 Sn 2.00
O (0.5000, 0.0000, 0.0000)  2 Sn 2.00
N (0.0000, 0.0000, 0.5000)  2 Sn 2.11
Au (0.5000, 0.5000, 0.5000)  4 N 2.83, 8 O 2.91

Record 10
The following is a PBEsol calculation of an optimized crystal structure of TaAuN2O, from Alexandria via LeMat-Bulk.

crystal system = tetragonal
formation energy (no corrections) = 0.04 eV per formula unit
V = 13.005 Å³/atom
spin magnetization = 0.88 μB/cell
space-group type = P4/mmm (123)

Lattice parameters (Å, degrees): 3.8533 4.1079 4.1079 90.00 90.00 90.00
Last column: nearest neighbours and their distance in Å.
Positions (direct):
N (0.0000, 0.0000, 0.5000)  2 Ta 2.05
N (0.0000, 0.5000, 0.0000)  2 Ta 2.05
Ta (0.0000, 0.0000, 0.0000)  2 O 1.93, 4 N 2.05
Au (0.5000, 0.5000, 0.5000)  8 N 2.82, 4 O 2.90
O (0.5000, 0.0000, 0.0000)  2 Ta 1.93

Record 11
The following is a PBEsol calculation of an optimized crystal structure of TcAuNO2, from Alexandria via LeMat-Bulk.

crystal system = tetragonal
formation energy (no corrections) = 6.61 eV per formula unit
V = 12.697 Å³/atom
spin magnetization = 3.80 μB/cell
space-group type = P4/mmm (123)

Lattice parameters (Å, degrees): 3.9029 4.0331 4.0331 90.00 90.00 90.00
Last column: nearest neighbours and their distance in Å.
Positions (direct):
O (0.0000, 0.0000, 0.5000)  2 Au 2.02
O (0.0000, 0.5000, 0.0000)  2 Au 2.02
N (0.5000, 0.0000, 0.0000)  2 Au 1.95
Tc (0.5000, 0.5000, 0.5000)  8 O 2.81, 4 N 2.85
Au (0.0000, 0.0000, 0.0000)  2 N 1.95, 4 O 2.02

Record 12
The following is a PBEsol calculation of an optimized crystal structure of SrPAu2N, from Alexandria via LeMat-Bulk.

crystal system = tetragonal
formation energy (no corrections) = 10.28 eV per formula unit
V = 40.424 Å³/atom
spin magnetization = 5.07 μB/cell
space-group type = P4/mmm (123)

Lattice parameters (Å, degrees): 5.9017 5.8522 5.8522 90.00 90.00 90.00
Last column: nearest neighbours and their distance in Å.
Positions (direct):
Sr (0.0000, 0.0000, 0.0000)  4 Au 2.93, 2 P 2.95
N (0.5000, 0.5000, 0.5000)  4 P 4.14, 8 Au 4.16
Au (0.0000, 0.5000, 0.0000)  2 Sr 2.93
Au (0.0000, 0.0000, 0.5000)  2 Sr 2.93
P (0.5000, 0.0000, 0.0000)  2 Sr 2.95

Please write out number 9 again, unchanged.
The following is a PBEsol calculation of an optimized crystal structure of SnAuNO2, from Alexandria via LeMat-Bulk.

crystal system = tetragonal
formation energy (no corrections) = 1.96 eV per formula unit
V = 13.536 Å³/atom
spin magnetization = 2.03 μB/cell
space-group type = P4/mmm (123)

Lattice parameters (Å, degrees): 4.0087 4.0087 4.2118 90.00 90.00 90.00
Last column: nearest neighbours and their distance in Å.
Positions (direct):
Sn (0.0000, 0.0000, 0.0000)  4 O 2.00, 2 N 2.11
O (0.0000, 0.5000, 0.0000)  2 Sn 2.00
O (0.5000, 0.0000, 0.0000)  2 Sn 2.00
N (0.0000, 0.0000, 0.5000)  2 Sn 2.11
Au (0.5000, 0.5000, 0.5000)  4 N 2.83, 8 O 2.91

Q: formation energy (no corrections) of number 1 (PbAu2NO)?
A: 5.02 eV per formula unit